The following is a DFT calculation (PBE-GGA) of a relaxed CaMg5Pb8 crystal.

POSCAR file:
```
CaMg5Pb8
1.0
7.5884 0.0000 -2.8383
-3.6779 6.7228 -2.6301
-0.2327 0.0000 8.0985
Ca Mg Pb
1 5 8
Cartesian
-0.1164 3.3614 4.0493
-0.9549 1.9833 -0.2421
3.5032 6.3642 -3.3214
3.1401 4.7395 1.8047
3.6779 0.0000 2.6301
1.6673 0.3586 7.0190
-1.7036 4.6835 -1.6288
6.7619 0.3339 2.3286
4.5663 1.8675 0.0101
3.2434 2.6479 4.6153
1.7381 4.0749 -1.0529
0.7117 6.3889 3.0160
1.5858 2.0393 1.5445
-2.1921 4.8553 1.6877
```

Calculated values
M_tot (Bohr magnetons per cell): 0.00
Calculated volume (Å³ per atom): 29.19
Calculated total energy (Ha/atom): -0.1061